Here is Co2AgTeO6 after structural relaxation from Alexandria via LeMat-Bulk. Energies are from PBE with a Hubbard U.

Values from the calculation:
- raw total energy (Ha/atom) = -0.1984
- symmetry = R3, No. 146

a = 5.8978 Å, b = 5.8978 Å, c = 5.8978 Å
α = 52.06°, β = 52.06°, γ = 52.06°
Each line ends with the local moment (μB).
Atoms (fractional coordinates):
1 Co 0.2177 0.2177 0.2177  2.71
2 Co 0.6867 0.6867 0.6867  0.04
3 Ag 0.4833 0.4833 0.4833  0.00
4 Te 0.0109 0.0109 0.0109  0.01
5 O 0.4176 0.0216 0.8273  0.01
6 O 0.0216 0.8273 0.4176  0.01
7 O 0.9256 0.2866 0.6232  0.04
8 O 0.6232 0.9256 0.2866  0.04
9 O 0.8273 0.4176 0.0216  0.01
10 O 0.2866 0.6232 0.9256  0.04